Record 1
VASP calculation (PBE) on crystalline BaCa2LaAu at its relaxed geometry.

Lattice parameters (Å, degrees): 5.961 5.961 5.866 90.00 90.00 90.00
Atoms (fractional coordinates):
Ba 0.500 0.500 0.500
Ca 0.000 0.500 0.000
Ca 0.500 0.000 0.000
La 0.000 0.000 0.500
Au 0.000 0.000 0.000

Values from the calculation:
Total magnetic moment: 0.00 μB/f.u.
Mass density: 4.41 g/cm3
Calculated total energy: -3.1084 eV per atom
Density of states at the Fermi level: 5.4 states/eV/cell
E_form: -0.28 eV per atom

Record 2
VASP calculation (PBE) on crystalline ScV2Ga2 at its relaxed geometry.

Lattice parameters (Å, degrees): 7.065 7.065 3.199 90.00 90.00 90.00
Atoms (fractional coordinates):
V 0.172 0.672 0.500
V 0.828 0.328 0.500
V 0.328 0.172 0.500
V 0.672 0.828 0.500
Ga 0.874 0.626 0.000
Ga 0.374 0.874 0.000
Ga 0.126 0.374 0.000
Ga 0.626 0.126 0.000
Sc 0.000 0.000 0.000
Sc 0.500 0.500 0.000

Values from the calculation:
Total magnetic moment: 0.29 μB/f.u.
Mass density: 5.95 g/cm3
Calculated total energy: -6.2970 eV per atom
Density of states at the Fermi level: 12.8 states/eV/cell
Polymorph energy (0 for the lowest one): 0.0950 eV per atom
E_form: -0.17 eV per atom

Record 3
VASP calculation (PBE) on crystalline Pu5MnRh6 at its relaxed geometry.

Lattice parameters (Å, degrees): 4.607 8.330 8.330 120.31 106.05 106.05
Atoms (fractional coordinates):
Rh 0.758 0.258 0.258
Rh 0.755 0.910 0.599
Rh 0.755 0.599 0.910
Rh 0.245 0.401 0.090
Rh 0.245 0.090 0.401
Rh 0.242 0.742 0.742
Pu 0.500 0.848 0.152
Pu 0.000 0.681 0.319
Pu 0.500 0.500 0.500
Pu 0.500 0.152 0.848
Pu 0.000 0.319 0.681
Mn 0.000 0.000 0.000

Values from the calculation:
Total magnetic moment: 9.09 μB/f.u.
Mass density: 13.70 g/cm3
Calculated total energy: -10.7508 eV per atom
Density of states at the Fermi level: 46.7 states/eV/cell
E_form: -0.34 eV per atom

Record 4
VASP calculation (PBE) on crystalline NaCaS2N at its relaxed geometry.

Lattice parameters (Å, degrees): 5.039 5.039 4.361 90.00 90.00 90.00
Atoms (fractional coordinates):
Ca 0.500 0.500 0.500
S 0.000 0.500 0.000
S 0.500 0.000 0.000
Na 0.000 0.000 0.000
N 0.000 0.000 0.500

Values from the calculation:
Total magnetic moment: 3.82 μB/f.u.
Mass density: 2.12 g/cm3
E_form (uncorrected): 7.912 kcal/mol of atoms
Calculated total energy: -3.6371 eV per atom
Density of states at the Fermi level: 2.8 states/eV/cell
Polymorph energy (0 for the lowest one): 0.1264 eV per atom

Record 5
VASP calculation (PBE) on crystalline Li2SnPb at its relaxed geometry.

Lattice parameters (Å, degrees): 4.377 4.504 4.504 90.00 90.00 90.00
Atoms (fractional coordinates):
Li 0.000 0.500 0.000
Li 0.000 0.000 0.500
Sn 0.500 0.000 0.000
Pb 0.500 0.500 0.500

Values from the calculation:
Total magnetic moment: 0.00 μB/f.u.
Mass density: 6.35 g/cm3
Calculated total energy: -3.1497 eV per atom
Density of states at the Fermi level: 2.0 states/eV/cell
E_form: -0.26 eV per atom

Record 6
VASP calculation (PBE) on crystalline ScGeN3 at its relaxed geometry.

Lattice parameters (Å, degrees): 4.142 4.142 4.142 90.00 90.00 90.00
Atoms (fractional coordinates):
Sc 0.000 0.000 0.000
N 0.000 0.000 0.500
N 0.000 0.500 0.000
N 0.500 0.000 0.000
Ge 0.500 0.500 0.500

Values from the calculation:
Total magnetic moment: 3.30 μB/f.u.
Mass density: 3.73 g/cm3
E_form (uncorrected): 25.401 kcal/mol of atoms
Calculated total energy: -6.0835 eV per atom
Density of states at the Fermi level: 3.4 states/eV/cell

Record 7
VASP calculation (PBE) on crystalline LiHo2Al4Pt3 at its relaxed geometry.

Lattice parameters (Å, degrees): 4.115 4.115 10.894 90.00 90.00 90.00
Atoms (fractional coordinates):
Al 0.500 0.500 0.000
Al 0.500 0.000 0.633
Al 0.000 0.500 0.367
Al 0.000 0.000 0.000
Li 0.500 0.500 0.500
Ho 0.500 0.000 0.243
Ho 0.000 0.500 0.757
Pt 0.000 0.500 0.139
Pt 0.500 0.000 0.861
Pt 0.000 0.000 0.500

Values from the calculation:
Total magnetic moment: 0.00 μB/f.u.
Mass density: 9.27 g/cm3
Calculated total energy: -5.3669 eV per atom
Density of states at the Fermi level: 3.4 states/eV/cell
E_form: -0.95 eV per atom

Record 8
VASP calculation (PBE) on crystalline Al2RuAu at its relaxed geometry.

Lattice parameters (Å, degrees): 6.832 6.832 5.611 52.50 52.50 90.00
Atoms (fractional coordinates):
Al 0.134 0.625 0.250
Al 0.375 0.384 0.750
Al 0.875 0.866 0.750
Al 0.616 0.125 0.250
Ru 0.500 0.500 0.000
Ru 0.250 0.750 0.500
Au 0.750 0.250 0.500
Au 0.000 0.000 0.000

Values from the calculation:
Total magnetic moment: 0.00 μB/f.u.
Mass density: 8.77 g/cm3
Calculated total energy: -5.0315 eV per atom
Density of states at the Fermi level: 6.6 states/eV/cell
E_form: -0.02 eV per atom